(1)
The following is a PBE-GGA calculation of an optimized crystal structure of Hf2SnTeRu, from Alexandria via LeMat-Bulk.

The structure in POSCAR format:
```
Hf2SnTeRu
1.0
5.0842 0.0000 0.0000
0.0000 5.0842 0.0000
0.0000 0.0000 5.3516
Hf Sn Te Ru
2 1 1 1
Direct
0.0000 0.5000 0.0000 Hf
0.5000 0.0000 0.0000 Hf
0.0000 0.0000 0.5000 Sn
0.0000 0.0000 0.0000 Te
0.5000 0.5000 0.5000 Ru
```

Properties
SG ... P4/mmm
Crystal system ... tetragonal
Uncorrected formation energy ... 1576.9 meV per atom



(2)
The following is a PBE-GGA calculation of an optimized crystal structure of SrHf2Ru2, from Alexandria via LeMat-Bulk.

The structure in POSCAR format:
```
SrHf2Ru2
1.0
-2.2792 2.2792 5.7767
2.2792 -2.2792 5.7767
2.2792 2.2792 -5.7767
Sr Hf Ru
1 2 2
Direct
0.0000 0.0000 0.0000 Sr
0.3551 0.3551 0.0000 Hf
0.6449 0.6449 0.0000 Hf
0.2500 0.7500 0.5000 Ru
0.7500 0.2500 0.5000 Ru
```

Properties
SG ... I4/mmm
Crystal system ... tetragonal
ΔE_f ... 8 meV/atom
Polymorph energy (0 for the lowest one) ... 0.282 eV/atom



(3)
The following is a PBE-GGA calculation of an optimized crystal structure of Sr2HfRu, from Alexandria via LeMat-Bulk.

The structure in POSCAR format:
```
Sr2HfRu
1.0
0.0000 3.7770 3.7770
3.7770 0.0000 3.7770
3.7770 3.7770 0.0000
Sr Hf Ru
2 1 1
Direct
0.2500 0.2500 0.2500 Sr
0.7500 0.7500 0.7500 Sr
0.0000 0.0000 0.0000 Hf
0.5000 0.5000 0.5000 Ru
```

Properties
SG ... Fm-3m
Crystal system ... cubic
ΔE_f ... 998 meV/atom
Polymorph energy (0 for the lowest one) ... 0.493 eV/atom